(1)
KCeTm4S8: optimized geometry, GGA-PBE.

Summary:
The value obtained for the total magnetization is 1.00 μB per formula unit. The calculation puts the calculated volume at 27.7 A^3/atom. The density of states at the Fermi level comes out at 24.57 states/eV per cell. For the formation energy (no corrections), the calculation gives -183 kJ/mol of atoms.

Cell lengths 8.1050, 8.1050, 20.4777 Å; angles 90.00, 90.00, 120.00 degrees
Space group R3m (No. 160, hexagonal axes)
Inequivalent atoms, fractional coordinates:
K  0.0000  0.0000  0.0000 x3
Ce  0.0000  0.0000  0.3670 x3
Tm  0.0000  0.0000  0.7454 x3
Tm  0.0116  0.5058  0.8723 x9
S  0.0000  0.0000  0.1388 x3
S  0.0000  0.0000  0.6139 x3
S  0.0126  0.5063  0.1268 x9
S  0.1863  0.3726  0.9446 x9

---

(2)
TaZnO2F: optimized geometry, GGA-PBE.

Summary:
The value obtained for the total magnetization is 1.94 μB per formula unit. The calculation puts the calculated volume at 11.8 A^3/atom. The density of states at the Fermi level comes out at 3.78 states/eV per cell. For the formation energy (no corrections), the calculation gives -61 kJ/mol of atoms.

Cell lengths 3.991, 3.991, 3.702 Å; angles 90.00, 90.00, 90.00 degrees
Space group P4/mmm (No. 123)
Inequivalent atoms, fractional coordinates:
Ta  0.000  0.000  0.000 x1
Zn  0.500  0.500  0.500 x1
O  0.000  0.500  0.500 x2
F  0.500  0.500  0.000 x1

---

Number 2 is which compound? TaZnO2F

---

Number 1 is which compound? KCeTm4S8

---

The lowest formation energy (no corrections) belongs to which entry? KCeTm4S8